No. 1
First-principles (PBEsol) data for an optimized crystal structure of GaNiIBr2, as listed in Alexandria via LeMat-Bulk.

Lattice parameters (Å, degrees): 4.738 4.738 5.203 90.00 90.00 90.00
Space group P4/mmm (No. 123)
Symmetry-distinct sites (fractional):
Ga: 0.000 0.000 0.000
Ni: 0.000 0.000 0.500
I: 0.500 0.500 0.000
Br: 0.000 0.500 0.500

- Uncorrected formation energy: -0.05 eV per atom


No. 2
First-principles (PBEsol) data for an optimized crystal structure of GaSbI2Br, as listed in Alexandria via LeMat-Bulk.

Lattice parameters (Å, degrees): 5.388 5.388 5.504 90.00 90.00 90.00
Space group P4/mmm (No. 123)
Symmetry-distinct sites (fractional):
Ga: 0.000 0.000 0.000
Sb: 0.000 0.000 0.500
I: 0.000 0.500 0.000
Br: 0.500 0.500 0.500

- Uncorrected formation energy: 0.20 eV per atom
- E above lowest polymorph: 0 meV/atom


No. 3
First-principles (PBEsol) data for an optimized crystal structure of GaSbI2Br, as listed in Alexandria via LeMat-Bulk.

Lattice parameters (Å, degrees): 5.862 5.862 5.531 90.00 90.00 90.00
Space group P4/mmm (No. 123)
Symmetry-distinct sites (fractional):
Ga: 0.000 0.000 0.000
Sb: 0.500 0.500 0.000
I: 0.000 0.500 0.500
Br: 0.500 0.500 0.500

- Uncorrected formation energy: 0.56 eV per atom
- E above lowest polymorph: 363 meV/atom


No. 4
First-principles (PBEsol) data for an optimized crystal structure of In3GaBr, as listed in Alexandria via LeMat-Bulk.

Lattice parameters (Å, degrees): 5.333 5.333 5.333 90.00 90.00 90.00
Space group Pm-3m (No. 221)
Symmetry-distinct sites (fractional):
In: 0.000 0.000 0.500
Ga: 0.000 0.000 0.000
Br: 0.500 0.500 0.500

- Uncorrected formation energy: 0.05 eV per atom


No. 5
First-principles (PBEsol) data for an optimized crystal structure of InGa3Br, as listed in Alexandria via LeMat-Bulk.

Lattice parameters (Å, degrees): 5.276 5.276 5.276 90.00 90.00 90.00
Space group Pm-3m (No. 221)
Symmetry-distinct sites (fractional):
In: 0.000 0.000 0.000
Ga: 0.000 0.000 0.500
Br: 0.500 0.500 0.500

- Uncorrected formation energy: 0.29 eV per atom


No. 6
First-principles (PBEsol) data for an optimized crystal structure of InGaBr4, as listed in Alexandria via LeMat-Bulk.

Lattice parameters (Å, degrees): 8.590 7.394 13.001 90.00 105.52 90.00
Space group P2/c (No. 13)
Symmetry-distinct sites (fractional):
In: 0.000 0.084 0.250
In: 0.500 0.390 0.750
Ga: 0.284 0.213 0.049
Br: 0.150 0.425 0.129
Br: 0.202 0.257 0.863
Br: 0.214 0.078 0.590
Br: 0.439 0.268 0.391

- Uncorrected formation energy: -0.76 eV per atom